[1]
Below is a geometry-optimized Ag3O structure, with properties calculated at the GGA-PBE level.

Summary:
The uncorrected energy is -13.15 eV/cell. The value obtained for the density is 8.928 Mg/m³. For the formation energy (no corrections), the calculation gives 91 meV/atom.

Unit cell a=3.0220 b=4.8954 c=5.1483 alpha=118.39 beta=107.07 gamma=90.00
With the nearest neighbours (Å) after each atom.
Fractional positions:
O  0.0000  0.0030  0.0000  6 Ag 2.36-2.45
Ag  0.7008  0.0843  0.4016  2 O 2.36
Ag  0.2992  0.6827  0.5984  2 O 2.36
Ag  0.5000  0.3967  0.0000  2 O 2.45

---

[2]
Below is a geometry-optimized Tb6Ho3Sc structure, with properties calculated at the GGA-PBE level.

Summary:
The uncorrected energy is -45.46 eV/cell. The value obtained for the density is 7.788 Mg/m³.

Unit cell a=9.7112 b=9.7112 c=6.8289 alpha=44.68 beta=44.68 gamma=60.00
With the nearest neighbours (Å) after each atom.
Fractional positions:
Tb  0.7619  0.0858  0.7138  3 Ho 3.29-3.62, 1 Sc 3.33
Sc  0.8573  0.8573  0.4280  2 Ho 2.85-2.91
Ho  0.6083  0.6083  0.1751  1 Ho 2.90, 1 Sc 2.91
Tb  0.0858  0.4385  0.7138  3 Ho 3.29-3.62, 1 Sc 3.33
Tb  0.2553  0.9334  0.2129  2 Ho 3.30-3.43, 1 Sc 3.30
Tb  0.9334  0.5984  0.2129  2 Ho 3.30-3.43, 1 Sc 3.30
Tb  0.5984  0.2553  0.2129  2 Ho 3.30-3.43, 1 Sc 3.30
Ho  0.1008  0.1008  0.6976  1 Sc 2.85, 1 Ho 3.04
Tb  0.4385  0.7619  0.7138  3 Ho 3.29-3.62, 1 Sc 3.33
Ho  0.3603  0.3603  0.9191  2 Ho 2.90-3.04

---

[3]
Below is a geometry-optimized Nd3SmMg structure, with properties calculated at the GGA-PBE level.

Summary:
The uncorrected energy is -41.40 eV/cell. The value obtained for the density is 6.124 Mg/m³.

Unit cell a=3.7923 b=6.8748 c=13.1571 alpha=87.40 beta=90.01 gamma=74.00
With the nearest neighbours (Å) after each atom.
Fractional positions:
Mg  0.5562  0.8857  0.6261  2 Sm 3.34, 6 Nd 3.34-3.41, 1 Mg 3.58
Sm  0.2274  0.5444  0.7543  2 Mg 3.34, 7 Nd 3.65-3.70
Nd  0.6347  0.7312  0.9721  9 Nd 3.60-3.79, 3 Sm 3.70-3.96
Nd  0.3653  0.2688  0.0279  9 Nd 3.60-3.79, 3 Sm 3.70-3.96
Nd  0.0413  0.9183  0.1888  2 Mg 3.39, 7 Nd 3.57-3.79, 3 Sm 3.65-3.66
Mg  0.4438  0.1143  0.3739  2 Sm 3.34, 6 Nd 3.34-3.41, 1 Mg 3.58
Nd  0.8511  0.2978  0.5576  4 Mg 3.34-3.41, 3 Nd 3.56-3.57, 2 Sm 3.65
Nd  0.1489  0.7022  0.4424  4 Mg 3.34-3.41, 3 Nd 3.56-3.57, 2 Sm 3.65
Nd  0.9587  0.0817  0.8112  2 Mg 3.39, 7 Nd 3.57-3.79, 3 Sm 3.65-3.66
Sm  0.7726  0.4556  0.2457  2 Mg 3.34, 7 Nd 3.65-3.70